(1)
# Ac3Mg3Hg8 (PBE, optimized geometry)
data_Ac3Mg3Hg8
_symmetry_space_group_name_H-M 'I m m m'
_symmetry_Int_Tables_number 71
_symmetry_space_group_name_Hall '-I 2 2'
_cell_length_a 5.082
_cell_length_b 9.972
_cell_length_c 14.773
_cell_angle_alpha 90.00
_cell_angle_beta 90.00
_cell_angle_gamma 90.00
loop_
_atom_site_label
_atom_site_type_symbol
_atom_site_fract_x
_atom_site_fract_y
_atom_site_fract_z
Ac1 Ac 0.000 0.000 0.000
Ac2 Ac 0.000 0.000 0.287
Mg1 Mg 0.000 0.177 0.500
Mg2 Mg 0.000 0.500 0.000
Hg1 Hg 0.000 0.296 0.135
Hg2 Hg 0.000 0.356 0.348
# ΔH_f (0 K) (eV per formula unit): -5.38
# Magnetic moment (μB/cell): 0.0

***

(2)
# Mg2BeCr (PBE, optimized geometry)
data_Mg2BeCr
_symmetry_space_group_name_H-M 'R -3 m'
_symmetry_Int_Tables_number 166
_symmetry_space_group_name_Hall '-R 3 2"'
_cell_length_a 2.7712
_cell_length_b 2.7712
_cell_length_c 27.1754
_cell_angle_alpha 90.00
_cell_angle_beta 90.00
_cell_angle_gamma 120.00
loop_
_atom_site_label
_atom_site_type_symbol
_atom_site_fract_x
_atom_site_fract_y
_atom_site_fract_z
Mg1 Mg 0.0000 0.0000 0.2487
Be1 Be 0.0000 0.0000 0.5000
Cr1 Cr 0.0000 0.0000 0.0000
# ΔH_f (0 K) (eV per formula unit): 2.56
# Magnetic moment (μB/cell): 1.4

***

(3)
# ScAlAs (PBE, optimized geometry)
data_ScAlAs
_symmetry_space_group_name_H-M 'F m m 2'
_symmetry_Int_Tables_number 42
_symmetry_space_group_name_Hall 'F 2 -2'
_cell_length_a 4.510
_cell_length_b 5.176
_cell_length_c 9.678
_cell_angle_alpha 90.00
_cell_angle_beta 90.00
_cell_angle_gamma 90.00
loop_
_atom_site_label
_atom_site_type_symbol
_atom_site_fract_x
_atom_site_fract_y
_atom_site_fract_z
Sc1 Sc 0.000 0.000 0.000
Al1 Al 0.000 0.000 0.692
As1 As 0.000 0.000 0.329
# ΔH_f (0 K) (eV per formula unit): -1.38
# Magnetic moment (μB/cell): 0.0

***

(4)
# Li7Hg2Au2 (PBE, optimized geometry)
data_Li7Hg2Au2
_symmetry_space_group_name_H-M 'C m m m'
_symmetry_Int_Tables_number 65
_symmetry_space_group_name_Hall '-C 2 2'
_cell_length_a 5.707
_cell_length_b 9.847
_cell_length_c 7.533
_cell_angle_alpha 90.00
_cell_angle_beta 90.00
_cell_angle_gamma 90.00
loop_
_atom_site_label
_atom_site_type_symbol
_atom_site_fract_x
_atom_site_fract_y
_atom_site_fract_z
Li1 Li 0.000 0.000 0.000
Li2 Li 0.000 0.500 0.185
Li3 Li 0.250 0.250 0.304
Hg1 Hg 0.245 0.000 0.500
Au1 Au 0.000 0.273 0.000
# ΔH_f (0 K) (eV per formula unit): -3.11
# Magnetic moment (μB/cell): 0.0

***

- What is the magnetic moment in the third record?
  0.0 μB/cell